Record 1
# ScHgGeI6

ScHgGeI6 after structural relaxation (GGA-PBE, Alexandria via LeMat-Bulk).

Computed properties:
The theoretical density comes out at 5.008 g/cm3. The density of states at the Fermi level is 3.737 states/eV/cell. The symmetry is C2 (5). Its raw total energy is -2.914 eV per atom.

Structure (extended XYZ):
```
9
Lattice="-5.032 5.088 -2.386 -3.086 -0.672 -6.851 -5.377 -3.999 2.806" Properties=species:S:1:pos:R:3 pbc="T T T"
I -5.739 -1.128 1.148
I -5.942 -3.308 -2.334
I -8.231 0.081 -1.893
I -2.581 -1.269 -1.693
I -4.680 2.161 -0.828
I -5.194 0.297 -4.458
Sc -5.394 -0.528 -1.676
Hg -10.409 1.089 0.419
Ge -8.101 0.945 -4.755
```

Record 2
# MgCr4In

MgCr4In after structural relaxation (GGA-PBE, Alexandria via LeMat-Bulk).

Computed properties:
The theoretical density comes out at 6.667 g/cm3. The density of states at the Fermi level is 9.121 states/eV/cell. The symmetry is F-43m (216). Its raw total energy is -6.756 eV per atom. The formation energy comes out at 0.382 eV/atom.

Structure (extended XYZ):
```
6
Lattice="0.000 3.510 3.510 3.510 0.000 3.510 3.510 3.510 0.000" Properties=species:S:1:pos:R:3 pbc="T T T"
Cr 2.625 2.625 4.394
Cr 2.625 4.394 2.625
Cr 4.394 4.394 4.394
Cr 4.394 2.625 2.625
Mg 0.000 0.000 0.000
In 1.755 1.755 1.755
```

Record 3
# KMoAu2

KMoAu2 after structural relaxation (GGA-PBE, Alexandria via LeMat-Bulk).

Computed properties:
The theoretical density comes out at 9.924 g/cm3. The density of states at the Fermi level is 2.076 states/eV/cell. The symmetry is I-4m2 (119). The energy above the most stable polymorph in this dataset comes out at 0.4943 eV/atom. Its raw total energy is -3.841 eV per atom. The formation energy comes out at 0.780 eV/atom.

Structure (extended XYZ):
```
4
Lattice="5.728 -0.003 0.000 2.559 5.125 0.000 -4.144 -2.561 3.014" Properties=species:S:1:pos:R:3 pbc="T T T"
Mo 2.864 -0.002 1.507
Au 0.000 0.000 0.000
Au 1.280 2.562 1.507
K 4.144 2.561 0.000
```

Record 4
# BePdW2I

BePdW2I after structural relaxation (GGA-PBE, Alexandria via LeMat-Bulk).

Computed properties:
The theoretical density comes out at 10.219 g/cm3. The density of states at the Fermi level is 6.397 states/eV/cell. The symmetry is P4/mmm (123). Its raw total energy is -5.536 eV per atom.

Structure (extended XYZ):
```
5
Lattice="-2.796 3.923 -1.104 -3.282 -1.954 1.369 0.793 1.837 4.520" Properties=species:S:1:pos:R:3 pbc="T T T"
W 0.396 0.918 2.260
W -1.398 1.962 -0.552
Be -1.641 -0.977 0.685
Pd 0.000 0.000 0.000
I -2.643 1.903 2.393
```

Record 5
# SmTmHg5

SmTmHg5 after structural relaxation (GGA-PBE, Alexandria via LeMat-Bulk).

Computed properties:
The theoretical density comes out at 11.782 g/cm3. The density of states at the Fermi level is 4.173 states/eV/cell. The symmetry is Cmmm (65). Its raw total energy is -1.768 eV per atom. The formation energy comes out at -0.240 eV/atom.

Structure (extended XYZ):
```
7
Lattice="5.250 0.222 -0.001 -1.498 5.036 -0.001 -0.001 -0.001 6.961" Properties=species:S:1:pos:R:3 pbc="T T T"
Sm 0.000 0.000 0.000
Hg -0.749 2.517 5.286
Hg 4.500 2.740 1.674
Hg 2.624 0.111 5.286
Hg 1.127 5.147 1.674
Hg 0.000 0.000 3.480
Tm 1.875 2.629 3.480
```

Record 6
# BaZrHg2

BaZrHg2 after structural relaxation (GGA-PBE, Alexandria via LeMat-Bulk).

Computed properties:
The theoretical density comes out at 6.995 g/cm3. The density of states at the Fermi level is 7.487 states/eV/cell. The symmetry is I-42d (122). Its raw total energy is -2.509 eV per atom. The formation energy comes out at 0.260 eV/atom.

Structure (extended XYZ):
```
8
Lattice="5.561 0.000 0.000 0.000 5.561 0.000 2.781 2.781 9.669" Properties=species:S:1:pos:R:3 pbc="T T T"
Hg 3.523 1.390 2.417
Hg 2.038 4.171 2.417
Hg 4.171 4.818 7.251
Hg 6.951 6.304 7.251
Zr 2.781 2.781 0.000
Zr 2.781 5.561 4.834
Ba 0.000 0.000 0.000
Ba 5.561 2.781 4.834
```

Record 7
# HfIrAu

HfIrAu after structural relaxation (GGA-PBE, Alexandria via LeMat-Bulk).

Computed properties:
The theoretical density comes out at 14.793 g/cm3. The density of states at the Fermi level is 4.421 states/eV/cell. The symmetry is Fddd (70). The energy above the most stable polymorph in this dataset comes out at 0.3157 eV/atom. Its raw total energy is -7.674 eV per atom. The formation energy comes out at -0.310 eV/atom.

Structure (extended XYZ):
```
12
Lattice="-4.003 5.559 1.211 0.051 -6.026 3.475 6.585 2.653 1.784" Properties=species:S:1:pos:R:3 pbc="T T T"
Ir 3.311 -1.288 4.680
Ir 0.981 0.515 0.878
Ir 1.350 -2.318 2.923
Ir 1.653 1.671 5.593
Hf 3.078 -3.941 4.219
Hf -0.697 -3.888 3.058
Hf 1.582 0.335 3.384
Hf -3.255 3.421 1.629
Au 4.458 0.425 2.793
Au -0.836 1.878 2.506
Au 2.456 3.204 3.399
Au -0.811 -1.135 4.244
```

Record 8
# MgOs2Br

MgOs2Br after structural relaxation (GGA-PBE, Alexandria via LeMat-Bulk).

Computed properties:
The theoretical density comes out at 11.631 g/cm3. The density of states at the Fermi level is 3.095 states/eV/cell. The symmetry is P4mm (99). The energy above the most stable polymorph in this dataset comes out at 0.1079 eV/atom. Its raw total energy is -6.069 eV per atom.

Structure (extended XYZ):
```
4
Lattice="2.992 0.000 0.000 0.000 2.992 0.000 0.000 0.000 7.729" Properties=species:S:1:pos:R:3 pbc="T T T"
Br 0.000 0.000 3.789
Os 0.000 0.000 0.152
Os 1.496 1.496 1.669
Mg 1.496 1.496 5.984
```

Record 9
# Cr2W

Cr2W after structural relaxation (GGA-PBE, Alexandria via LeMat-Bulk).

Computed properties:
The theoretical density comes out at 10.925 g/cm3. The density of states at the Fermi level is 8.670 states/eV/cell. The symmetry is I4/mcm (140). The energy above the most stable polymorph in this dataset comes out at 0.7648 eV/atom. Its raw total energy is -9.915 eV per atom. The formation energy comes out at 0.819 eV/atom.

Structure (extended XYZ):
```
6
Lattice="-2.838 2.838 2.716 2.838 -2.838 2.716 2.838 2.838 -2.716" Properties=species:S:1:pos:R:3 pbc="T T T"
Cr -0.858 1.980 2.716
Cr 1.980 0.858 2.716
Cr 0.858 1.980 0.000
Cr 3.696 0.858 0.000
W 0.000 0.000 1.358
W 0.000 0.000 4.075
```

Record 10
# La3ErZn2

La3ErZn2 after structural relaxation (GGA-PBE, Alexandria via LeMat-Bulk).

Computed properties:
The theoretical density comes out at 6.766 g/cm3. The density of states at the Fermi level is 7.641 states/eV/cell. The symmetry is P4/mmm (123). The energy above the most stable polymorph in this dataset comes out at 0.0202 eV/atom. Its raw total energy is -3.836 eV per atom. The formation energy comes out at -0.187 eV/atom.

Structure (extended XYZ):
```
6
Lattice="3.769 0.000 0.000 0.000 3.769 0.000 0.000 0.000 12.351" Properties=species:S:1:pos:R:3 pbc="T T T"
Zn 1.884 1.884 10.458
Zn 1.884 1.884 1.894
Er 1.884 1.884 6.176
La 0.000 0.000 0.000
La 0.000 0.000 3.693
La 0.000 0.000 8.658
```

Record 11
# PrSm2IO8

PrSm2IO8 after structural relaxation (GGA-PBE, Alexandria via LeMat-Bulk).

Computed properties:
The theoretical density comes out at 6.164 g/cm3. The density of states at the Fermi level is 0.000 states/eV/cell. The symmetry is Cmmm (65). Its raw total energy is -6.864 eV per atom.

Structure (extended XYZ):
```
12
Lattice="-2.297 -0.149 -4.607 -2.540 -4.261 1.398 -5.284 3.972 2.506" Properties=species:S:1:pos:R:3 pbc="T T T"
O -3.576 -3.261 -2.370
O -6.726 -0.342 2.328
O -3.549 -2.731 0.820
O -4.164 0.599 0.243
O -6.572 2.294 -1.523
O -5.956 -1.036 -0.945
O -3.394 -0.096 -3.031
O -6.544 2.824 1.667
Sm -3.730 -1.219 -0.982
Sm -6.391 0.781 0.280
Pr -2.642 1.986 1.253
I 0.000 0.000 0.000
```

Record 12
# ZrTiNb

ZrTiNb after structural relaxation (GGA-PBE, Alexandria via LeMat-Bulk).

Computed properties:
The theoretical density comes out at 6.523 g/cm3. The density of states at the Fermi level is 12.845 states/eV/cell. The symmetry is Imma (74). The energy above the most stable polymorph in this dataset comes out at 0.0203 eV/atom. Its raw total energy is -8.761 eV per atom. The formation energy comes out at 0.077 eV/atom.

Structure (extended XYZ):
```
6
Lattice="5.753 0.000 0.000 2.876 4.676 0.153 2.876 1.473 4.440" Properties=species:S:1:pos:R:3 pbc="T T T"
Ti 2.876 0.000 0.000
Ti 0.000 0.000 0.000
Nb 4.315 2.338 0.076
Nb 4.315 0.737 2.220
Zr 7.191 2.288 1.709
Zr 4.315 3.861 2.884
```

Record 13
# TbScAl6

TbScAl6 after structural relaxation (GGA-PBE, Alexandria via LeMat-Bulk).

Computed properties:
The theoretical density comes out at 4.087 g/cm3. The density of states at the Fermi level is 2.690 states/eV/cell. The symmetry is P-6m2 (187). Its raw total energy is -4.578 eV per atom. The formation energy comes out at -0.401 eV/atom.

Structure (extended XYZ):
```
8
Lattice="4.732 0.000 0.000 0.000 5.310 -2.840 0.000 -0.195 6.019" Properties=species:S:1:pos:R:3 pbc="T T T"
Al 2.366 2.300 -0.678
Al 0.000 2.995 4.004
Al 0.000 3.102 0.713
Al 0.000 0.198 2.266
Al 2.366 4.704 0.816
Al 2.366 4.796 -2.012
Tb 2.366 2.098 2.328
Sc 0.000 0.263 5.281
```

Record 14
# LiHg3Pd6

LiHg3Pd6 after structural relaxation (GGA-PBE, Alexandria via LeMat-Bulk).

Computed properties:
The theoretical density comes out at 12.144 g/cm3. The density of states at the Fermi level is 11.813 states/eV/cell. The symmetry is Cmc2_1 (36). The energy above the most stable polymorph in this dataset comes out at 0.0895 eV/atom. Its raw total energy is -3.514 eV per atom. The formation energy comes out at -0.116 eV/atom.

Structure (extended XYZ):
```
20
Lattice="4.896 0.000 0.000 0.000 8.752 -1.022 0.000 -2.949 8.304" Properties=species:S:1:pos:R:3 pbc="T T T"
Pd 0.156 4.424 4.267
Pd 2.138 8.026 -0.443
Pd 2.604 3.172 5.264
Pd 4.586 -2.222 7.724
Pd 1.854 -1.118 3.724
Pd 2.604 1.379 3.015
Pd 4.303 3.879 -0.259
Pd 0.602 5.502 1.568
Pd 4.303 6.921 3.558
Pd 1.854 1.924 7.540
Pd 0.156 2.631 2.017
Pd 3.051 0.301 5.714
Hg 2.211 2.129 0.240
Hg 4.659 -0.241 2.129
Hg 2.211 6.044 5.153
Hg 4.659 3.674 7.042
Hg 0.303 1.644 4.643
Hg 2.751 4.159 2.639
Li 0.683 -0.391 6.265
Li 3.131 6.194 1.017
```

Record 15
# YTlWC2

YTlWC2 after structural relaxation (GGA-PBE, Alexandria via LeMat-Bulk).

Computed properties:
The theoretical density comes out at 7.843 g/cm3. The density of states at the Fermi level is 4.432 states/eV/cell. The symmetry is P4/mmm (123). Its raw total energy is -5.207 eV per atom. The formation energy comes out at 2.840 eV/atom.

Structure (extended XYZ):
```
5
Lattice="4.322 0.000 0.000 0.000 5.679 0.000 0.000 0.000 4.322" Properties=species:S:1:pos:R:3 pbc="T T T"
C 0.000 0.000 2.161
C 2.161 0.000 0.000
Y 0.000 0.000 0.000
W 2.161 2.839 2.161
Tl 0.000 2.839 0.000
```

Record 16
# NdDyYTh

NdDyYTh after structural relaxation (GGA-PBE, Alexandria via LeMat-Bulk).

Computed properties:
The theoretical density comes out at 7.889 g/cm3. The density of states at the Fermi level is 8.874 states/eV/cell. The symmetry is F-43m (216). The energy above the most stable polymorph in this dataset comes out at 0.1278 eV/atom. Its raw total energy is -5.673 eV per atom. The formation energy comes out at 0.141 eV/atom.

Structure (extended XYZ):
```
4
Lattice="5.717 0.000 0.000 2.858 4.951 0.000 2.858 1.650 4.668" Properties=species:S:1:pos:R:3 pbc="T T T"
Dy 2.858 1.650 1.167
Y 8.575 4.951 3.501
Nd 5.717 3.301 2.334
Th 0.000 0.000 0.000
```

Record 17
# TiSiBr2

TiSiBr2 after structural relaxation (GGA-PBE, Alexandria via LeMat-Bulk).

Computed properties:
The theoretical density comes out at 4.336 g/cm3. The density of states at the Fermi level is 3.248 states/eV/cell. The symmetry is R-3m (166). The energy above the most stable polymorph in this dataset comes out at 0.0000 eV/atom. Its raw total energy is -4.344 eV per atom.

Structure (extended XYZ):
```
4
Lattice="1.923 0.000 9.397 -0.961 1.665 9.397 -0.961 -1.665 9.397" Properties=species:S:1:pos:R:3 pbc="T T T"
Br 0.000 0.000 25.269
Br 0.000 0.000 2.922
Si 0.000 0.000 0.000
Ti 0.000 0.000 14.096
```

Record 18
# PuTiCu

PuTiCu after structural relaxation (GGA-PBE, Alexandria via LeMat-Bulk).

Computed properties:
The theoretical density comes out at 12.660 g/cm3. The density of states at the Fermi level is 7.386 states/eV/cell. The symmetry is C2/m (12). Its raw total energy is -8.567 eV per atom. The formation energy comes out at 0.207 eV/atom.

Structure (extended XYZ):
```
6
Lattice="-0.555 -2.100 1.352 0.261 -1.502 -4.644 7.545 -0.828 1.809" Properties=species:S:1:pos:R:3 pbc="T T T"
Pu 3.393 -2.291 -2.165
Pu 3.858 -2.139 0.682
Cu 6.817 -1.526 0.427
Cu 0.434 -2.903 -1.910
Ti 1.160 -1.692 0.269
Ti 6.091 -2.738 -1.752
```